Version i
TcIO2 | Alexandria via LeMat-Bulk | GGA-PBE | optimized geometry; D(E_F) = 0.766 states/eV/atom; SG = No. 225
1.0
-3.8945 -1.2938 0.8198
-1.7851 0.9299 3.6690
-3.1344 2.7682 0.1601
Tc O I
1 2 1
direct
0.0000 0.0000 0.0000
0.7500 0.7500 0.7500
0.2500 0.2500 0.2500
0.5000 0.5000 0.5000

Version ii
TcIO2 | Alexandria via LeMat-Bulk | GGA-PBE | optimized geometry; D(E_F) = 0.395 states/eV/atom; SG = No. 166
1.0
1.8492 0.0000 10.0413
-0.9246 1.6014 10.0413
-0.9246 -1.6014 10.0413
Tc O I
1 2 1
direct
0.5000 0.5000 0.5000
0.8642 0.8642 0.8642
0.1358 0.1358 0.1358
0.0000 0.0000 0.0000

Most stable = version ii

Version i
TcIO2 | Alexandria via LeMat-Bulk | GGA-PBE | optimized geometry; D(E_F) = 0.951 states/eV/atom; SG = No. 166
1.0
1.7677 0.0000 8.6345
-0.8838 1.5309 8.6345
-0.8838 -1.5309 8.6345
O I Tc
2 1 1
direct
0.9323 0.9323 0.9323
0.0677 0.0677 0.0677
0.5000 0.5000 0.5000
0.0000 0.0000 0.0000

Version ii
TcIO2 | Alexandria via LeMat-Bulk | GGA-PBE | optimized geometry; D(E_F) = 1.615 states/eV/atom; SG = No. 227
1.0
6.0178 0.0000 0.0000
0.0000 6.0178 0.0000
3.0089 3.0089 4.2570
Tc O I
2 4 2
direct
0.2500 0.7500 0.5000
0.5000 0.5000 0.0000
0.3757 0.6250 0.2500
0.3750 0.6257 0.7500
0.3743 0.1250 0.2500
0.8750 0.6243 0.7500
0.0000 0.0000 0.0000
0.7500 0.2500 0.5000

Most stable = version ii

Version i
TcI2O2 | Alexandria via LeMat-Bulk | GGA-PBE | optimized geometry; D(E_F) = 0.568 states/eV/atom; SG = No. 123
1.0
4.0656 0.0000 0.0000
0.0000 4.0656 0.0000
0.0000 0.0000 6.0031
O I Tc
2 2 1
direct
0.5000 0.0000 0.0000
0.0000 0.5000 0.0000
0.0000 0.0000 0.5000
0.5000 0.5000 0.5000
0.0000 0.0000 0.0000

Version ii
TcI2O2 | Alexandria via LeMat-Bulk | GGA-PBE | optimized geometry; D(E_F) = 0.875 states/eV/atom; SG = No. 123
1.0
-3.2367 -3.9918 1.9129
4.0377 -3.6336 -0.7505
1.2320 0.6557 3.4529
Tc I O
1 2 2
direct
0.0000 0.0000 0.0000
0.0000 0.5000 0.0000
0.5000 0.0000 0.0000
0.5000 0.5000 0.5000
0.0000 0.0000 0.5000

Most stable = version i

Version i
TcI2O2 | Alexandria via LeMat-Bulk | GGA-PBE | optimized geometry; D(E_F) = 0.870 states/eV/atom; SG = No. 123
1.0
-1.9441 4.4114 0.9601
-4.4920 -1.9947 0.0692
0.3201 -0.6024 3.4160
I Tc O
2 1 2
direct
0.5000 0.0000 0.0000
0.0000 0.5000 0.0000
0.5000 0.5000 0.5000
0.0000 0.0000 0.0000
0.0000 0.0000 0.5000

Version ii
TcI2O2 | Alexandria via LeMat-Bulk | GGA-PBE | optimized geometry; D(E_F) = 0.761 states/eV/atom; SG = No. 123
1.0
4.0603 0.0000 0.0000
0.0000 4.0603 0.0000
0.0000 0.0000 7.9372
Tc O I
1 2 2
direct
0.5000 0.5000 0.5000
0.0000 0.5000 0.0000
0.5000 0.0000 0.0000
0.0000 0.0000 0.5000
0.0000 0.0000 0.0000

Most stable = version ii

Version i
TcTeI2O | Alexandria via LeMat-Bulk | GGA-PBE | optimized geometry; D(E_F) = 0.538 states/eV/atom; SG = No. 123
1.0
-5.2070 0.1843 -3.3340
3.0899 -2.0748 -4.9405
-0.8263 -3.8027 1.0802
I Te O Tc
2 1 1 1
direct
0.0000 0.5000 0.0000
0.5000 0.0000 0.0000
0.0000 0.0000 0.0000
0.0000 0.0000 0.5000
0.5000 0.5000 0.5000

Version ii
TcTeI2O | Alexandria via LeMat-Bulk | GGA-PBE | optimized geometry; D(E_F) = 2.264 states/eV/atom; SG = No. 123
1.0
5.4209 0.0000 0.0000
0.0000 5.4209 0.0000
0.0000 0.0000 5.0759
Tc O Te I
1 1 1 2
direct
0.0000 0.0000 0.0000
0.5000 0.5000 0.5000
0.0000 0.0000 0.5000
0.5000 0.0000 0.0000
0.0000 0.5000 0.0000

Version iii
TcTeI2O | Alexandria via LeMat-Bulk | GGA-PBE | optimized geometry; D(E_F) = 0.690 states/eV/atom; SG = No. 123
1.0
5.6805 0.0000 0.0000
0.0000 5.6805 0.0000
0.0000 0.0000 3.7758
I Tc Te O
2 1 1 1
direct
0.5000 0.0000 0.0000
0.0000 0.5000 0.0000
0.0000 0.0000 0.0000
0.5000 0.5000 0.5000
0.0000 0.0000 0.5000

Most stable = version iii

Version i
TcTe2IO | Alexandria via LeMat-Bulk | GGA-PBE | optimized geometry; D(E_F) = 0.858 states/eV/atom; SG = No. 123
1.0
-1.6724 -4.0860 0.7158
3.5597 -1.0173 2.5097
-3.1226 2.2110 5.3252
Te O I Tc
2 1 1 1
direct
0.5000 0.0000 0.0000
0.0000 0.5000 0.0000
0.0000 0.0000 0.0000
0.0000 0.0000 0.5000
0.5000 0.5000 0.5000

Version ii
TcTe2IO | Alexandria via LeMat-Bulk | GGA-PBE | optimized geometry; D(E_F) = 2.023 states/eV/atom; SG = No. 123
1.0
-2.7949 3.6511 2.1990
-4.2361 -2.6702 -0.9506
0.5121 -2.5538 4.8911
Tc Te I O
1 2 1 1
direct
0.0000 0.0000 0.0000
0.5000 0.0000 0.0000
0.0000 0.5000 0.0000
0.0000 0.0000 0.5000
0.5000 0.5000 0.5000

Most stable = version i

Version i
TiTcI2O | Alexandria via LeMat-Bulk | GGA-PBE | optimized geometry; D(E_F) = 1.537 states/eV/atom; SG = No. 123
1.0
5.5764 0.0000 0.0000
0.0000 5.5764 0.0000
0.0000 0.0000 3.7232
Ti I Tc O
1 2 1 1
direct
0.5000 0.5000 0.5000
0.0000 0.5000 0.0000
0.5000 0.0000 0.0000
0.0000 0.0000 0.0000
0.0000 0.0000 0.5000

Version ii
TiTcI2O | Alexandria via LeMat-Bulk | GGA-PBE | optimized geometry; D(E_F) = 1.384 states/eV/atom; SG = No. 123
1.0
-2.5664 -1.5997 -4.5568
-3.1987 -3.3031 2.9610
-2.4075 2.6979 0.4088
O I Ti Tc
1 2 1 1
direct
0.0000 0.0000 0.5000
0.0000 0.5000 0.0000
0.5000 0.0000 0.0000
0.0000 0.0000 0.0000
0.5000 0.5000 0.5000

Most stable = version ii